Arrangement w

KYC3: optimized geometry, PBE.

Summary:
DOS(E_F) (states/eV per cell): 4.7
Mass density (g/cm3): 3.4
Total magnetic moment (μB per atom): 0.000
Volume (Å³/f.u.): 80.9

Lattice parameters (Å, degrees): 4.326 4.326 4.326 90.00 90.00 90.00
Space group Pm-3m (No. 221)
Inequivalent atoms, fractional coordinates:
K  0.000  0.000  0.000 (multiplicity 1)
Y  0.500  0.500  0.500 (multiplicity 1)
C  0.000  0.000  0.500 (multiplicity 3)

Arrangement x

KYC3: optimized geometry, PBE.

Summary:
DOS(E_F) (states/eV per cell): 2.8
Mass density (g/cm3): 2.6
Total magnetic moment (μB per atom): 0.000
Volume (Å³/f.u.): 103.9

Lattice parameters (Å, degrees): 4.701 4.701 4.701 90.00 90.00 90.00
Space group Pm-3m (No. 221)
Inequivalent atoms, fractional coordinates:
K  0.000  0.000  0.000 (multiplicity 1)
Y  0.500  0.500  0.500 (multiplicity 1)
C  0.000  0.500  0.500 (multiplicity 3)

It is arrangement x that is the most stable of them.

Arrangement w

KZn3C: optimized geometry, PBE.

Summary:
DOS(E_F) (states/eV per cell): 4.9
Mass density (g/cm3): 1.4
Total magnetic moment (μB per atom): 0.569
Volume (Å³/f.u.): 284.6

Lattice parameters (Å, degrees): 6.578 6.578 6.578 90.00 90.00 90.00
Space group Pm-3m (No. 221)
Inequivalent atoms, fractional coordinates:
K  0.000  0.000  0.000 (multiplicity 1)
Zn  0.000  0.000  0.500 (multiplicity 3)
C  0.500  0.500  0.500 (multiplicity 1)

Arrangement x

KZn3C: optimized geometry, PBE.

Summary:
DOS(E_F) (states/eV per cell): 2.8
Mass density (g/cm3): 4.3
Total magnetic moment (μB per atom): 0.000
Volume (Å³/f.u.): 95.5

Lattice parameters (Å, degrees): 4.571 4.571 4.571 90.00 90.00 90.00
Space group Pm-3m (No. 221)
Inequivalent atoms, fractional coordinates:
K  0.000  0.000  0.000 (multiplicity 1)
Zn  0.000  0.500  0.500 (multiplicity 3)
C  0.500  0.500  0.500 (multiplicity 1)

It is arrangement x that is the most stable of them.

Arrangement w

KZnC3: optimized geometry, PBE.

Summary:
DOS(E_F) (states/eV per cell): 21.4
Mass density (g/cm3): 1.4
Total magnetic moment (μB per atom): 1.400
Volume (Å³/f.u.): 169.5

Lattice parameters (Å, degrees): 5.534 5.534 5.534 90.00 90.00 90.00
Space group Pm-3m (No. 221)
Inequivalent atoms, fractional coordinates:
K  0.000  0.000  0.000 (multiplicity 1)
Zn  0.500  0.500  0.500 (multiplicity 1)
C  0.000  0.000  0.500 (multiplicity 3)

Arrangement x

KZnC3: optimized geometry, PBE.

Summary:
DOS(E_F) (states/eV per cell): 3.0
Mass density (g/cm3): 3.2
Total magnetic moment (μB per atom): 0.000
Volume (Å³/f.u.): 73.6

Lattice parameters (Å, degrees): 4.190 4.190 4.190 90.00 90.00 90.00
Space group Pm-3m (No. 221)
Inequivalent atoms, fractional coordinates:
K  0.000  0.000  0.000 (multiplicity 1)
Zn  0.500  0.500  0.500 (multiplicity 1)
C  0.000  0.500  0.500 (multiplicity 3)

It is arrangement x that is the most stable of them.

Arrangement w

KZrC2: optimized geometry, PBE.

Summary:
DOS(E_F) (states/eV per cell): 13.4
Mass density (g/cm3): 2.6
Total magnetic moment (μB per atom): 0.000
Volume (Å³/f.u.): 98.2

Lattice parameters (Å, degrees): 5.591 5.591 12.571 90.00 90.00 90.00
Space group I-42d (No. 122)
Inequivalent atoms, fractional coordinates:
K  0.000  0.000  0.000 (multiplicity 4)
Zr  0.000  0.000  0.500 (multiplicity 4)
C  0.088  0.250  0.625 (multiplicity 8)

Arrangement x

KZrC2: optimized geometry, PBE.

Summary:
DOS(E_F) (states/eV per cell): 20.0
Mass density (g/cm3): 4.5
Total magnetic moment (μB per atom): 0.000
Volume (Å³/f.u.): 57.6

Lattice parameters (Å, degrees): 6.129 6.129 6.129 90.00 90.00 90.00
Space group Fm-3m (No. 225)
Inequivalent atoms, fractional coordinates:
K  0.000  0.000  0.000 (multiplicity 4)
Zr  0.000  0.000  0.500 (multiplicity 4)
C  0.250  0.250  0.250 (multiplicity 8)

It is arrangement w that is the most stable of them.

Arrangement w

KZrC3: optimized geometry, PBE.

Summary:
DOS(E_F) (states/eV per cell): 2.1
Mass density (g/cm3): 4.0
Total magnetic moment (μB per atom): 0.000
Volume (Å³/f.u.): 69.6

Lattice parameters (Å, degrees): 4.113 4.113 4.113 90.00 90.00 90.00
Space group Pm-3m (No. 221)
Inequivalent atoms, fractional coordinates:
K  0.000  0.000  0.000 (multiplicity 1)
Zr  0.500  0.500  0.500 (multiplicity 1)
C  0.000  0.000  0.500 (multiplicity 3)

Arrangement x

KZrC3: optimized geometry, PBE.

Summary:
DOS(E_F) (states/eV per cell): 3.8
Mass density (g/cm3): 3.1
Total magnetic moment (μB per atom): 0.000
Volume (Å³/f.u.): 89.4

Lattice parameters (Å, degrees): 4.471 4.471 4.471 90.00 90.00 90.00
Space group Pm-3m (No. 221)
Inequivalent atoms, fractional coordinates:
K  0.000  0.000  0.000 (multiplicity 1)
Zr  0.500  0.500  0.500 (multiplicity 1)
C  0.000  0.500  0.500 (multiplicity 3)

It is arrangement x that is the most stable of them.

Arrangement w

LaC: optimized geometry, PBE.

Summary:
DOS(E_F) (states/eV per cell): 15.6
Mass density (g/cm3): 4.1
Total magnetic moment (μB per atom): 0.000
Volume (Å³/f.u.): 61.2

Lattice parameters (Å, degrees): 10.468 10.468 4.469 90.00 90.00 90.00
Space group P4/m (No. 83)
Inequivalent atoms, fractional coordinates:
La  0.108  0.349  0.000 (multiplicity 4)
La  0.218  0.611  0.500 (multiplicity 4)
C  0.120  0.591  0.000 (multiplicity 4)
C  0.215  0.367  0.500 (multiplicity 4)

Arrangement x

LaC: optimized geometry, PBE.

Summary:
DOS(E_F) (states/eV per cell): 20.8
Mass density (g/cm3): 4.3
Total magnetic moment (μB per atom): 0.000
Volume (Å³/f.u.): 58.9

Lattice parameters (Å, degrees): 7.780 7.780 7.780 90.00 90.00 90.00
Space group I-43m (No. 217)
Inequivalent atoms, fractional coordinates:
La  0.169  0.169  0.831 (multiplicity 8)
C  0.155  0.155  0.155 (multiplicity 8)

It is arrangement w that is the most stable of them.